1.
# ReRhNO2 | the Alexandria database | PBE | relaxed
data_ReRhNO2
_space_group_name_H-M_alt 'P 1'
_space_group_IT_number 1
_space_group_name_Hall 'P 1'
_cell_length_a 3.893
_cell_length_b 3.893
_cell_length_c 3.915
_cell_angle_alpha 90.00
_cell_angle_beta 90.00
_cell_angle_gamma 90.00
loop_
_atom_site_label
_atom_site_type_symbol
_atom_site_fract_x
_atom_site_fract_y
_atom_site_fract_z
O1 O 0.000 0.500 0.000
O2 O 0.500 0.000 0.000
Rh1 Rh 0.000 0.000 0.000
Re1 Re 0.500 0.500 0.500
N1 N 0.000 0.000 0.500
# - Total energy: -6.53 eV per atom
# - Formation energy from raw total energies: 1.078 eV per atom
# - SG: P4/mmm (123)
# - D(E_F): 3.2 states/eV/f.u.
# - Crystal system: tetragonal

2.
# ReRu2NO | the Alexandria database | PBE | relaxed
data_ReRu2NO
_space_group_name_H-M_alt 'P 1'
_space_group_IT_number 1
_space_group_name_Hall 'P 1'
_cell_length_a 4.000
_cell_length_b 4.005
_cell_length_c 4.000
_cell_angle_alpha 90.00
_cell_angle_beta 90.00
_cell_angle_gamma 90.00
loop_
_atom_site_label
_atom_site_type_symbol
_atom_site_fract_x
_atom_site_fract_y
_atom_site_fract_z
Re1 Re 0.000 0.500 0.000
Ru1 Ru 0.000 0.000 0.500
Ru2 Ru 0.500 0.000 0.000
O1 O 0.500 0.500 0.500
N1 N 0.000 0.000 0.000
# - Total energy: -7.90 eV per atom
# - Formation energy from raw total energies: 0.959 eV per atom
# - SG: P4/mmm (123)
# - D(E_F): 5.9 states/eV/f.u.
# - Crystal system: tetragonal